Record 1
! La9Sn3N2 | Alexandria via LeMat-Bulk | PBE-GGA | relaxed; values from VASP
&SYSTEM
  ibrav = 0, nat = 14, ntyp = 3
/
ATOMIC_SPECIES
N 14.01 N.upf
La 138.91 La.upf
Sn 118.71 Sn.upf
ATOMIC_POSITIONS crystal
N 0.333 0.667 0.830
N 0.667 0.333 0.170
La 0.829 0.657 0.330
La 0.171 0.829 0.670
La 0.500 0.000 0.000
La 0.000 0.500 0.000
La 0.500 0.500 0.000
La 0.343 0.171 0.330
La 0.171 0.343 0.670
La 0.829 0.171 0.330
La 0.657 0.829 0.670
Sn 0.000 0.000 0.000
Sn 0.667 0.333 0.666
Sn 0.333 0.667 0.334
CELL_PARAMETERS angstrom
-0.718 0.618 -7.159
-1.402 -6.300 3.239
-8.422 2.416 1.053
! Uncorrected formation energy, eV per atom: -0.82
! ρ, Mg/m³: 6.8
! Calculated total energy, eV/cell: -84.5


Record 2
! LaSnN | Alexandria via LeMat-Bulk | PBE-GGA | relaxed; values from VASP
&SYSTEM
  ibrav = 0, nat = 6, ntyp = 3
/
ATOMIC_SPECIES
La 138.91 La.upf
N 14.01 N.upf
Sn 118.71 Sn.upf
ATOMIC_POSITIONS crystal
La 0.250 0.750 0.376
La 0.750 0.250 0.624
N 0.250 0.250 0.500
N 0.750 0.750 0.500
Sn 0.750 0.250 0.055
Sn 0.250 0.750 0.945
CELL_PARAMETERS angstrom
4.225 0.000 -0.001
0.000 4.225 0.001
0.001 -0.001 8.802
! Uncorrected formation energy, eV per atom: -0.70
! ρ, Mg/m³: 5.7
! Calculated total energy, eV/cell: -38.7


Record 3
! La7Sn3N2 | Alexandria via LeMat-Bulk | PBE-GGA | relaxed; values from VASP
&SYSTEM
  ibrav = 0, nat = 12, ntyp = 3
/
ATOMIC_SPECIES
N 14.01 N.upf
Sn 118.71 Sn.upf
La 138.91 La.upf
ATOMIC_POSITIONS crystal
N 0.000 0.896 0.794
N 0.000 0.104 0.206
Sn 0.500 0.307 0.617
Sn 0.500 0.693 0.383
Sn 0.500 0.500 0.000
La 0.000 0.602 0.203
La 0.500 0.903 0.808
La 0.000 0.000 0.000
La 0.000 0.798 0.599
La 0.000 0.202 0.401
La 0.000 0.398 0.797
La 0.500 0.097 0.192
CELL_PARAMETERS angstrom
-0.685 2.376 4.337
-0.631 -4.527 2.380
12.948 1.732 1.096
! Uncorrected formation energy, eV per atom: -0.95
! ρ, Mg/m³: 6.8
! Calculated total energy, eV/cell: -74.6


Record 4
! La7SnN2 | Alexandria via LeMat-Bulk | PBE-GGA | relaxed; values from VASP
&SYSTEM
  ibrav = 0, nat = 10, ntyp = 3
/
ATOMIC_SPECIES
La 138.91 La.upf
N 14.01 N.upf
Sn 118.71 Sn.upf
ATOMIC_POSITIONS crystal
La 0.500 0.500 0.500
La 0.000 0.695 0.305
La 0.500 0.949 0.672
La 0.500 0.051 0.328
La 0.500 0.672 0.949
La 0.500 0.328 0.051
La 0.000 0.305 0.695
N 0.500 0.699 0.301
N 0.500 0.301 0.699
Sn 0.000 0.000 0.000
CELL_PARAMETERS angstrom
-4.581 -0.367 -2.036
3.172 -2.979 -6.602
-1.981 -5.394 5.432
! Uncorrected formation energy, eV per atom: -0.41
! ρ, Mg/m³: 6.5
! Calculated total energy, eV/cell: -59.2


Record 5
! La2SnN | Alexandria via LeMat-Bulk | PBE-GGA | relaxed; values from VASP
&SYSTEM
  ibrav = 0, nat = 4, ntyp = 3
/
ATOMIC_SPECIES
Sn 118.71 Sn.upf
La 138.91 La.upf
N 14.01 N.upf
ATOMIC_POSITIONS crystal
Sn 0.000 0.000 0.000
La 0.225 0.225 0.326
La 0.775 0.775 0.674
N 0.500 0.500 0.500
CELL_PARAMETERS angstrom
3.757 0.000 0.000
1.878 3.253 0.000
1.878 1.084 8.298
! Uncorrected formation energy, eV per atom: -0.99
! ρ, Mg/m³: 6.7
! Calculated total energy, eV/cell: -26.1


Record 6
! La2SnN | Alexandria via LeMat-Bulk | PBE-GGA | relaxed; values from VASP
&SYSTEM
  ibrav = 0, nat = 8, ntyp = 3
/
ATOMIC_SPECIES
La 138.91 La.upf
N 14.01 N.upf
Sn 118.71 Sn.upf
ATOMIC_POSITIONS crystal
La 0.225 0.625 0.250
La 0.525 0.125 0.250
La 0.875 0.775 0.750
La 0.375 0.475 0.750
N 0.250 0.750 0.500
N 0.500 0.500 0.000
Sn 0.750 0.250 0.500
Sn 0.000 0.000 0.000
CELL_PARAMETERS angstrom
7.327 0.000 0.000
0.000 7.327 0.000
3.664 3.664 4.206
! Uncorrected formation energy, eV per atom: -0.91
! ρ, Mg/m³: 6.0
! Calculated total energy, eV/cell: -51.7


Record 7
! La2SnN | Alexandria via LeMat-Bulk | PBE-GGA | relaxed; values from VASP
&SYSTEM
  ibrav = 0, nat = 4, ntyp = 3
/
ATOMIC_SPECIES
Sn 118.71 Sn.upf
N 14.01 N.upf
La 138.91 La.upf
ATOMIC_POSITIONS crystal
Sn 0.500 0.500 0.500
N 0.000 0.000 0.000
La 0.750 0.750 0.750
La 0.250 0.250 0.250
CELL_PARAMETERS angstrom
0.509 -1.751 4.920
-0.134 3.377 4.013
-4.123 0.057 3.244
! Uncorrected formation energy, eV per atom: 0.04
! ρ, Mg/m³: 6.7
! Calculated total energy, eV/cell: -22.0


Record 8
! La10Sn4N3 | Alexandria via LeMat-Bulk | PBE-GGA | relaxed; values from VASP
&SYSTEM
  ibrav = 0, nat = 17, ntyp = 3
/
ATOMIC_SPECIES
La 138.91 La.upf
Sn 118.71 Sn.upf
N 14.01 N.upf
ATOMIC_POSITIONS crystal
La 0.637 0.137 0.274
La 0.790 0.790 0.580
La 0.137 0.637 0.274
La 0.932 0.932 0.863
La 0.500 0.000 0.000
La 0.000 0.500 0.000
La 0.363 0.863 0.726
La 0.210 0.210 0.420
La 0.068 0.068 0.137
La 0.863 0.363 0.726
Sn 0.699 0.699 0.398
Sn 0.568 0.568 0.137
Sn 0.432 0.432 0.863
Sn 0.301 0.301 0.602
N 0.858 0.858 0.715
N 0.142 0.142 0.285
N 0.000 0.000 0.000
CELL_PARAMETERS angstrom
5.039 0.000 -0.684
-0.093 5.038 -0.684
-0.004 -0.004 18.864
! Uncorrected formation energy, eV per atom: -0.98
! ρ, Mg/m³: 6.6
! Calculated total energy, eV/cell: -107.0


Record 9
! La2SnN | Alexandria via LeMat-Bulk | PBE-GGA | relaxed; values from VASP
&SYSTEM
  ibrav = 0, nat = 4, ntyp = 3
/
ATOMIC_SPECIES
Sn 118.71 Sn.upf
N 14.01 N.upf
La 138.91 La.upf
ATOMIC_POSITIONS crystal
Sn 0.500 0.500 0.500
N 0.500 0.500 0.000
La 0.000 0.000 0.185
La 0.000 0.000 0.815
CELL_PARAMETERS angstrom
3.283 0.000 0.000
0.000 3.283 0.000
0.000 0.000 8.171
! Uncorrected formation energy, eV per atom: -0.72
! ρ, Mg/m³: 7.7
! Calculated total energy, eV/cell: -25.1


Record 10
! SrLa2SnN4 | Alexandria via LeMat-Bulk | PBE-GGA | relaxed; values from VASP
&SYSTEM
  ibrav = 0, nat = 16, ntyp = 4
/
ATOMIC_SPECIES
N 14.01 N.upf
La 138.91 La.upf
Sr 87.62 Sr.upf
Sn 118.71 Sn.upf
ATOMIC_POSITIONS crystal
N 0.000 0.000 0.500
N 0.739 0.477 0.621
N 0.739 0.477 0.879
N 0.565 0.130 0.250
N 0.261 0.523 0.379
N 0.000 0.000 0.000
N 0.261 0.523 0.121
N 0.435 0.870 0.750
La 0.371 0.742 0.533
La 0.629 0.258 0.033
La 0.629 0.258 0.467
La 0.371 0.742 0.967
Sr 0.105 0.210 0.750
Sr 0.895 0.790 0.250
Sn 0.837 0.675 0.750
Sn 0.163 0.325 0.250
CELL_PARAMETERS angstrom
-3.060 1.688 -1.078
-1.399 -2.790 5.801
3.738 10.611 6.004
! Uncorrected formation energy, eV per atom: -0.77
! ρ, Mg/m³: 6.1
! Calculated total energy, eV/cell: -110.0


Record 11
! La2TaSnN5 | Alexandria via LeMat-Bulk | PBE-GGA | relaxed; values from VASP
&SYSTEM
  ibrav = 0, nat = 18, ntyp = 4
/
ATOMIC_SPECIES
N 14.01 N.upf
Ta 180.95 Ta.upf
La 138.91 La.upf
Sn 118.71 Sn.upf
ATOMIC_POSITIONS crystal
N 0.635 0.270 0.505
N 0.500 0.000 0.782
N 0.069 0.138 0.054
N 0.704 0.408 0.884
N 0.365 0.730 0.005
N 0.931 0.862 0.554
N 0.279 0.558 0.638
N 0.721 0.442 0.138
N 0.500 0.000 0.282
N 0.296 0.592 0.384
Ta 0.773 0.545 0.504
Ta 0.227 0.455 0.004
La 0.117 0.235 0.707
La 0.135 0.269 0.279
La 0.865 0.731 0.779
La 0.883 0.765 0.207
Sn 0.517 0.034 0.971
Sn 0.483 0.966 0.471
CELL_PARAMETERS angstrom
3.357 0.000 0.000
-1.679 7.160 0.000
0.000 0.000 10.850
! Uncorrected formation energy, eV per atom: -0.90
! ρ, Mg/m³: 8.2
! Calculated total energy, eV/cell: -150.9


Record 12
! La2Tb4Sn3N2 | Alexandria via LeMat-Bulk | PBE-GGA | relaxed; values from VASP
&SYSTEM
  ibrav = 0, nat = 11, ntyp = 4
/
ATOMIC_SPECIES
La 138.91 La.upf
Sn 118.71 Sn.upf
N 14.01 N.upf
Tb 158.93 Tb.upf
ATOMIC_POSITIONS crystal
La 0.309 0.309 0.619
La 0.691 0.691 0.381
Sn 0.000 0.000 0.000
Sn 0.172 0.172 0.344
Sn 0.828 0.828 0.656
N 0.402 0.402 0.803
N 0.598 0.598 0.197
Tb 0.082 0.582 0.164
Tb 0.918 0.418 0.836
Tb 0.418 0.918 0.836
Tb 0.582 0.082 0.164
CELL_PARAMETERS angstrom
4.793 0.000 0.000
0.000 4.793 0.000
-2.397 -2.397 12.854
! Uncorrected formation energy, eV per atom: -1.05
! ρ, Mg/m³: 7.3
! Calculated total energy, eV/cell: -68.6